Model a:
{
  "formula": "TmSc3Bi2",
  "functional": "PBE",
  "state": "relaxed",
  "lattice_angstrom": [[4.375, 0.000, 0.000], [0.000, 4.375, 0.000], [0.000, 0.000, 8.119]],
  "species": ["Tm", "Sc", "Sc", "Sc", "Bi", "Bi"],
  "fractional_positions": [[0.000, 0.000, 0.000], [0.000, 0.500, 0.337], [0.500, 0.000, 0.663], [0.500, 0.500, 0.000], [0.000, 0.500, 0.709], [0.500, 0.000, 0.291]],
  "magnetic_moment_mub_per_cell": 0.675,
  "density_g_cm3": 7.711,
  "spacegroup": "P-4m2 (115)"
}


Model b:
{
  "formula": "TmSc3Bi2",
  "functional": "PBE",
  "state": "relaxed",
  "lattice_angstrom": [[8.829, -2.142, 0.000], [8.829, 2.142, 0.000], [-3.542, 0.000, 8.393]],
  "species": ["Tm", "Tm", "Sc", "Sc", "Sc", "Sc", "Sc", "Sc", "Bi", "Bi", "Bi", "Bi"],
  "fractional_positions": [[0.111, 0.111, 0.113], [0.889, 0.889, 0.887], [0.065, 0.065, 0.675], [0.309, 0.309, 0.103], [0.359, 0.359, 0.511], [0.641, 0.641, 0.489], [0.691, 0.691, 0.897], [0.935, 0.935, 0.325], [0.250, 0.250, 0.715], [0.491, 0.491, 0.172], [0.509, 0.509, 0.828], [0.750, 0.750, 0.285]],
  "magnetic_moment_mub_per_cell": 0.832,
  "density_g_cm3": 7.551,
  "spacegroup": "C2/m (12)"
}


Which structure loses on stability? model b does.


Model a:
{
  "formula": "ScVBi3",
  "functional": "PBE",
  "state": "relaxed",
  "lattice_angstrom": [[5.309, 0.000, 0.000], [0.000, 5.309, 0.000], [0.000, 0.000, 5.309]],
  "species": ["Sc", "V", "Bi", "Bi", "Bi"],
  "fractional_positions": [[0.000, 0.000, 0.000], [0.500, 0.500, 0.500], [0.000, 0.500, 0.500], [0.500, 0.000, 0.500], [0.500, 0.500, 0.000]],
  "magnetic_moment_mub_per_cell": 1.154,
  "density_g_cm3": 8.020,
  "spacegroup": "Pm-3m (221)"
}


Model b:
{
  "formula": "ScVBi3",
  "functional": "PBE",
  "state": "relaxed",
  "lattice_angstrom": [[5.546, 0.000, 0.000], [0.000, 5.546, 0.000], [0.000, 0.000, 5.546]],
  "species": ["Sc", "V", "Bi", "Bi", "Bi"],
  "fractional_positions": [[0.000, 0.000, 0.000], [0.500, 0.500, 0.500], [0.000, 0.000, 0.500], [0.000, 0.500, 0.000], [0.500, 0.000, 0.000]],
  "magnetic_moment_mub_per_cell": 4.119,
  "density_g_cm3": 7.035,
  "spacegroup": "Pm-3m (221)"
}


Which structure loses on stability? model b does.


Model a:
{
  "formula": "ScV3Bi",
  "functional": "PBE",
  "state": "relaxed",
  "lattice_angstrom": [[5.111, 0.000, 0.000], [0.000, 5.111, 0.000], [0.000, 0.000, 5.111]],
  "species": ["Sc", "V", "V", "V", "Bi"],
  "fractional_positions": [[0.000, 0.000, 0.000], [0.000, 0.500, 0.500], [0.500, 0.000, 0.500], [0.500, 0.500, 0.000], [0.500, 0.500, 0.500]],
  "magnetic_moment_mub_per_cell": 8.830,
  "density_g_cm3": 5.060,
  "spacegroup": "Pm-3m (221)"
}


Model b:
{
  "formula": "ScV3Bi",
  "functional": "PBE",
  "state": "relaxed",
  "lattice_angstrom": [[4.590, 0.000, 0.000], [0.000, 4.590, 0.000], [0.000, 0.000, 4.590]],
  "species": ["Sc", "V", "V", "V", "Bi"],
  "fractional_positions": [[0.000, 0.000, 0.000], [0.000, 0.000, 0.500], [0.000, 0.500, 0.000], [0.500, 0.000, 0.000], [0.500, 0.500, 0.500]],
  "magnetic_moment_mub_per_cell": 0.013,
  "density_g_cm3": 6.986,
  "spacegroup": "Pm-3m (221)"
}


Which structure loses on stability? model a does.


Model a:
{
  "formula": "Sc3BiW",
  "functional": "PBE",
  "state": "relaxed",
  "lattice_angstrom": [[5.327, 0.000, 0.000], [0.000, 5.327, 0.000], [0.000, 0.000, 5.327]],
  "species": ["Sc", "Sc", "Sc", "Bi", "W"],
  "fractional_positions": [[0.000, 0.000, 0.500], [0.000, 0.500, 0.000], [0.500, 0.000, 0.000], [0.000, 0.000, 0.000], [0.500, 0.500, 0.500]],
  "magnetic_moment_mub_per_cell": 1.961,
  "density_g_cm3": 5.798,
  "spacegroup": "Pm-3m (221)"
}


Model b:
{
  "formula": "Sc3BiW",
  "functional": "PBE",
  "state": "relaxed",
  "lattice_angstrom": [[5.100, 0.000, 0.000], [0.000, 5.100, 0.000], [0.000, 0.000, 5.100]],
  "species": ["Sc", "Sc", "Sc", "Bi", "W"],
  "fractional_positions": [[0.000, 0.000, 0.500], [0.000, 0.500, 0.000], [0.500, 0.000, 0.000], [0.500, 0.500, 0.500], [0.000, 0.000, 0.000]],
  "magnetic_moment_mub_per_cell": 0.000,
  "density_g_cm3": 6.606,
  "spacegroup": "Pm-3m (221)"
}


Which structure loses on stability? model a does.


Model a:
{
  "formula": "ScBi2W",
  "functional": "PBE",
  "state": "relaxed",
  "lattice_angstrom": [[6.426, 0.000, 0.000], [0.000, 6.426, 0.000], [0.000, 0.000, 13.798]],
  "species": ["Sc", "Sc", "Sc", "Sc", "Bi", "Bi", "Bi", "Bi", "Bi", "Bi", "Bi", "Bi", "W", "W", "W", "W"],
  "fractional_positions": [[0.000, 0.000, 0.000], [0.000, 0.500, 0.250], [0.500, 0.000, 0.750], [0.500, 0.500, 0.500], [0.225, 0.250, 0.625], [0.250, 0.725, 0.875], [0.250, 0.775, 0.375], [0.275, 0.250, 0.125], [0.725, 0.750, 0.125], [0.750, 0.225, 0.375], [0.750, 0.275, 0.875], [0.775, 0.750, 0.625], [0.000, 0.000, 0.500], [0.000, 0.500, 0.750], [0.500, 0.000, 0.250], [0.500, 0.500, 0.000]],
  "magnetic_moment_mub_per_cell": 11.554,
  "density_g_cm3": 7.538,
  "spacegroup": "I-42d (122)"
}


Model b:
{
  "formula": "ScBi2W",
  "functional": "PBE",
  "state": "relaxed",
  "lattice_angstrom": [[7.061, 0.000, 0.000], [0.000, 7.061, 0.000], [0.000, 0.000, 7.061]],
  "species": ["Sc", "Sc", "Sc", "Sc", "Bi", "Bi", "Bi", "Bi", "Bi", "Bi", "Bi", "Bi", "W", "W", "W", "W"],
  "fractional_positions": [[0.000, 0.000, 0.000], [0.000, 0.500, 0.500], [0.500, 0.000, 0.500], [0.500, 0.500, 0.000], [0.250, 0.250, 0.250], [0.250, 0.250, 0.750], [0.250, 0.750, 0.250], [0.250, 0.750, 0.750], [0.750, 0.250, 0.250], [0.750, 0.250, 0.750], [0.750, 0.750, 0.250], [0.750, 0.750, 0.750], [0.000, 0.000, 0.500], [0.000, 0.500, 0.000], [0.500, 0.000, 0.000], [0.500, 0.500, 0.500]],
  "magnetic_moment_mub_per_cell": 0.000,
  "density_g_cm3": 12.202,
  "spacegroup": "Fm-3m (225)"
}


Which structure loses on stability? model a does.


Model a:
{
  "formula": "YSc3Bi",
  "functional": "PBE",
  "state": "relaxed",
  "lattice_angstrom": [[5.296, 0.000, 0.000], [0.000, 5.296, 0.000], [0.000, 0.000, 5.296]],
  "species": ["Y", "Sc", "Sc", "Sc", "Bi"],
  "fractional_positions": [[0.000, 0.000, 0.000], [0.000, 0.000, 0.500], [0.000, 0.500, 0.000], [0.500, 0.000, 0.000], [0.500, 0.500, 0.500]],
  "magnetic_moment_mub_per_cell": 0.000,
  "density_g_cm3": 4.838,
  "spacegroup": "Pm-3m (221)"
}


Model b:
{
  "formula": "YSc3Bi",
  "functional": "PBE",
  "state": "relaxed",
  "lattice_angstrom": [[5.487, 0.000, 0.000], [0.000, 5.487, 0.000], [0.000, 0.000, 5.487]],
  "species": ["Y", "Sc", "Sc", "Sc", "Bi"],
  "fractional_positions": [[0.000, 0.000, 0.000], [0.000, 0.500, 0.500], [0.500, 0.000, 0.500], [0.500, 0.500, 0.000], [0.500, 0.500, 0.500]],
  "magnetic_moment_mub_per_cell": 2.871,
  "density_g_cm3": 4.350,
  "spacegroup": "Pm-3m (221)"
}


Which structure loses on stability? model a does.


Model a:
{
  "formula": "YSc2Bi2",
  "functional": "PBE",
  "state": "relaxed",
  "lattice_angstrom": [[8.204, 0.000, 0.000], [0.000, 8.204, 0.000], [0.000, 0.000, 4.024]],
  "species": ["Y", "Y", "Sc", "Sc", "Sc", "Sc", "Bi", "Bi", "Bi", "Bi"],
  "fractional_positions": [[0.000, 0.000, 0.000], [0.500, 0.500, 0.000], [0.149, 0.351, 0.500], [0.351, 0.851, 0.500], [0.649, 0.149, 0.500], [0.851, 0.649, 0.500], [0.150, 0.650, 0.000], [0.350, 0.150, 0.000], [0.650, 0.850, 0.000], [0.850, 0.350, 0.000]],
  "magnetic_moment_mub_per_cell": 1.594,
  "density_g_cm3": 7.318,
  "spacegroup": "P4/mbm (127)"
}


Model b:
{
  "formula": "YSc2Bi2",
  "functional": "PBE",
  "state": "relaxed",
  "lattice_angstrom": [[4.364, 0.000, 0.000], [0.000, 4.364, 0.000], [0.000, 0.000, 14.705]],
  "species": ["Y", "Y", "Sc", "Sc", "Sc", "Sc", "Bi", "Bi", "Bi", "Bi"],
  "fractional_positions": [[0.000, 0.000, 0.000], [0.500, 0.500, 0.500], [0.000, 0.500, 0.250], [0.000, 0.500, 0.750], [0.500, 0.000, 0.250], [0.500, 0.000, 0.750], [0.000, 0.000, 0.391], [0.000, 0.000, 0.609], [0.500, 0.500, 0.109], [0.500, 0.500, 0.891]],
  "magnetic_moment_mub_per_cell": 1.782,
  "density_g_cm3": 7.077,
  "spacegroup": "I4/mmm (139)"
}


Model c:
{
  "formula": "YSc2Bi2",
  "functional": "PBE",
  "state": "relaxed",
  "lattice_angstrom": [[8.386, 0.000, 0.000], [0.000, 8.386, 0.000], [0.000, 0.000, 3.830]],
  "species": ["Y", "Y", "Sc", "Sc", "Sc", "Sc", "Bi", "Bi", "Bi", "Bi"],
  "fractional_positions": [[0.000, 0.000, 0.000], [0.500, 0.500, 0.000], [0.126, 0.374, 0.000], [0.374, 0.874, 0.000], [0.626, 0.126, 0.000], [0.874, 0.626, 0.000], [0.173, 0.673, 0.500], [0.327, 0.173, 0.500], [0.673, 0.827, 0.500], [0.827, 0.327, 0.500]],
  "magnetic_moment_mub_per_cell": 4.787,
  "density_g_cm3": 7.359,
  "spacegroup": "P4/mbm (127)"
}


Which structure loses on stability? model c does.


Model a:
{
  "formula": "ScZn2Bi2",
  "functional": "PBE",
  "state": "relaxed",
  "lattice_angstrom": [[7.652, 0.000, 0.000], [0.000, 7.652, 0.000], [0.000, 0.000, 3.963]],
  "species": ["Sc", "Sc", "Zn", "Zn", "Zn", "Zn", "Bi", "Bi", "Bi", "Bi"],
  "fractional_positions": [[0.000, 0.000, 0.000], [0.500, 0.500, 0.000], [0.118, 0.382, 0.000], [0.382, 0.882, 0.000], [0.618, 0.118, 0.000], [0.882, 0.618, 0.000], [0.181, 0.681, 0.500], [0.319, 0.181, 0.500], [0.681, 0.819, 0.500], [0.819, 0.319, 0.500]],
  "magnetic_moment_mub_per_cell": 0.000,
  "density_g_cm3": 8.499,
  "spacegroup": "P4/mbm (127)"
}


Model b:
{
  "formula": "ScZn2Bi2",
  "functional": "PBE",
  "state": "relaxed",
  "lattice_angstrom": [[7.907, 0.000, 0.000], [0.000, 7.907, 0.000], [0.000, 0.000, 3.927]],
  "species": ["Sc", "Sc", "Zn", "Zn", "Zn", "Zn", "Bi", "Bi", "Bi", "Bi"],
  "fractional_positions": [[0.000, 0.000, 0.000], [0.500, 0.500, 0.000], [0.144, 0.356, 0.500], [0.356, 0.856, 0.500], [0.644, 0.144, 0.500], [0.856, 0.644, 0.500], [0.157, 0.657, 0.000], [0.343, 0.157, 0.000], [0.657, 0.843, 0.000], [0.843, 0.343, 0.000]],
  "magnetic_moment_mub_per_cell": 0.000,
  "density_g_cm3": 8.032,
  "spacegroup": "P4/mbm (127)"
}


Model c:
{
  "formula": "ScZn2Bi2",
  "functional": "PBE",
  "state": "relaxed",
  "lattice_angstrom": [[3.826, 0.000, 0.000], [0.000, 3.826, 0.000], [0.000, 0.000, 17.256]],
  "species": ["Sc", "Sc", "Zn", "Zn", "Zn", "Zn", "Bi", "Bi", "Bi", "Bi"],
  "fractional_positions": [[0.000, 0.000, 0.000], [0.500, 0.500, 0.500], [0.000, 0.500, 0.250], [0.000, 0.500, 0.750], [0.500, 0.000, 0.250], [0.500, 0.000, 0.750], [0.000, 0.000, 0.406], [0.000, 0.000, 0.594], [0.500, 0.500, 0.094], [0.500, 0.500, 0.906]],
  "magnetic_moment_mub_per_cell": 0.000,
  "density_g_cm3": 7.807,
  "spacegroup": "I4/mmm (139)"
}


Which structure loses on stability? model b does.